# 1
{
  "formula": "ReHg3O",
  "functional": "PBE-GGA",
  "state": "relaxed",
  "sg": "Pm-3m",
  "energy_ev_per_atom": -2.467,
  "relative_energy_mev_per_atom": 0.0,
  "lattice": [[-0.461, 4.338, 1.526], [-0.943, -1.591, 4.235], [4.501, 0.111, 1.044]],
  "species": ["Re", "Hg", "Hg", "Hg", "O"],
  "fractional_positions": [[0.500, 0.500, 0.500], [0.000, 0.500, 0.000], [0.000, 0.000, 0.500], [0.500, 0.000, 0.000], [0.000, 0.000, 0.000]]
}

=====

# 2
{
  "formula": "PuTiSnHg",
  "functional": "PBE-GGA",
  "state": "relaxed",
  "sg": "F-43m",
  "energy_ev_per_atom": -6.736,
  "lattice": [[-1.837, -4.754, -0.015], [1.372, -3.274, 3.657], [-3.380, -1.437, 3.533]],
  "species": ["Ti", "Hg", "Sn", "Pu"],
  "fractional_positions": [[0.000, 0.000, 0.000], [0.750, 0.750, 0.750], [0.250, 0.250, 0.250], [0.500, 0.500, 0.500]]
}

=====

# 3
{
  "formula": "CdW2Se",
  "functional": "PBE-GGA",
  "state": "relaxed",
  "sg": "P4/mmm",
  "energy_ev_per_atom": -6.860,
  "relative_energy_mev_per_atom": 402.0,
  "lattice": [[3.086, 0.000, 0.000], [0.000, 3.086, 0.000], [0.000, 0.000, 7.149]],
  "species": ["Cd", "Se", "W", "W"],
  "fractional_positions": [[0.500, 0.500, 0.250], [0.500, 0.500, 0.750], [0.000, 0.000, 0.956], [0.000, 0.000, 0.544]]
}

=====

# 4
{
  "formula": "LiUNi4H8",
  "functional": "PBE-GGA",
  "state": "relaxed",
  "sg": "R3m",
  "energy_ev_per_atom": -4.499,
  "lattice": [[-1.947, 3.853, 2.608], [-4.778, 1.414, -0.779], [-3.941, -1.797, 4.589]],
  "species": ["Li", "U", "Ni", "Ni", "Ni", "Ni", "H", "H", "H", "H", "H", "H", "H", "H"],
  "fractional_positions": [[0.449, 0.449, 0.652], [0.992, 0.992, 0.025], [0.605, 0.605, 0.186], [0.999, 0.496, 0.505], [0.496, 0.999, 0.505], [0.999, 0.999, 0.505], [0.241, 0.823, 0.694], [0.823, 0.241, 0.694], [0.241, 0.241, 0.694], [0.221, 0.221, 0.338], [0.717, 0.220, 0.346], [0.220, 0.717, 0.346], [0.717, 0.717, 0.346], [0.778, 0.778, 0.665]]
}

=====

# 5
{
  "formula": "Tl2MoAs",
  "functional": "PBE-GGA",
  "state": "relaxed",
  "sg": "P4/mmm",
  "energy_ev_per_atom": -4.293,
  "relative_energy_mev_per_atom": 592.7,
  "lattice": [[-1.449, 3.070, -1.624], [-2.805, -2.072, -1.414], [-3.259, 1.060, 4.912]],
  "species": ["As", "Tl", "Tl", "Mo"],
  "fractional_positions": [[0.500, 0.500, 0.250], [0.000, 0.000, 0.995], [0.000, 0.000, 0.505], [0.500, 0.500, 0.750]]
}

=====

# 6
{
  "formula": "Tl2MoSe2",
  "functional": "PBE-GGA",
  "state": "relaxed",
  "sg": "P4/mbm",
  "energy_ev_per_atom": -4.465,
  "relative_energy_mev_per_atom": 0.0,
  "lattice": [[-1.429, -4.300, 4.704], [4.934, -3.798, -1.974], [3.709, 2.869, 3.751]],
  "species": ["Tl", "Tl", "Tl", "Tl", "Mo", "Mo", "Se", "Se", "Se", "Se"],
  "fractional_positions": [[0.193, 0.693, 0.500], [0.693, 0.807, 0.500], [0.807, 0.307, 0.500], [0.307, 0.193, 0.500], [0.000, 0.000, 0.000], [0.500, 0.500, 0.000], [0.344, 0.844, 0.000], [0.844, 0.656, 0.000], [0.656, 0.156, 0.000], [0.156, 0.344, 0.000]]
}

=====

> Which formula does entry 6 have?

Tl2MoSe2